DFT (GGA-PBE) results for a relaxed structure of BaPtSe.

Lattice parameters (Å, degrees): 6.5373 6.5373 6.5373 139.65 100.05 93.63
With the nearest neighbours (Å) after each atom.
Element x y z (fractional)
Ba: 0.2405 0.2405 0.0000  6 Se 3.34-3.60, 6 Pt 3.52-3.53
Ba: 0.7595 0.7595 0.0000  6 Se 3.34-3.60, 6 Pt 3.52-3.53
Pt: 0.3312 0.0000 0.3312  2 Se 2.46
Pt: 0.6688 0.0000 0.6688  2 Se 2.46
Se: 0.2144 0.5000 0.7144  2 Pt 2.46
Se: 0.7856 0.5000 0.2856  2 Pt 2.46

Properties
Space group: Immm, No. 71
E_form (uncorrected), meV per atom: -1140